DFT (PBE-GGA) results for an optimized crystal structure of K2NaSr2.

Properties
- calculated formation energy (meV/atom) = 249
- energy above the most stable polymorph in this dataset (eV per formula unit) = 0.311
- spin magnetization (Bohr magnetons per cell) = 0.0

Lattice parameters (Å, degrees): 5.1667 5.1667 12.0079 77.58 77.58 90.00
With the nearest neighbours (Å) after each atom.
Positions (direct):
Sr  0.4111  0.4111  0.1779  1 Sr 4.07, 4 Na 4.18, 4 K 4.50
Sr  0.5889  0.5889  0.8221  1 Sr 4.07, 4 Na 4.18, 4 K 4.50
K  0.7500  0.2500  0.5000  4 K 3.65
K  0.2500  0.7500  0.5000  4 K 3.65
Na  0.0000  0.0000  0.0000  8 Sr 4.18